Entry 1:
Entry from Alexandria via LeMat-Bulk: a geometry-optimized Ac2Pd6Au structure (GGA-PBE).

Calculated values
Crystal system: trigonal
Energy relative to the elements (eV/atom): -0.67

```
Ac2Pd6Au
1.0
5.889 0.000 0.000
-2.944 5.100 0.000
0.000 0.000 6.266
Ac Pd Au
2 6 1
Direct
0.333 0.667 0.182
0.667 0.333 0.818
0.175 0.351 0.672
0.175 0.825 0.672
0.351 0.175 0.328
0.649 0.825 0.672
0.825 0.175 0.328
0.825 0.649 0.328
0.000 0.000 0.000
```



Entry 2:
Entry from Alexandria via LeMat-Bulk: a geometry-optimized Tb5BiPd2 structure (GGA-PBE).

Calculated values
Crystal system: tetragonal
Energy relative to the elements (eV/atom): -0.69

```
Tb5BiPd2
1.0
-3.947 3.947 6.851
3.947 -3.947 6.851
3.947 3.947 -6.851
Tb Bi Pd
10 2 4
Direct
0.000 0.000 0.000
0.015 0.515 0.810
0.205 0.015 0.500
0.295 0.795 0.810
0.485 0.295 0.500
0.500 0.500 0.000
0.515 0.705 0.500
0.705 0.205 0.190
0.795 0.985 0.500
0.985 0.485 0.190
0.250 0.250 0.000
0.750 0.750 0.000
0.136 0.364 0.500
0.364 0.864 0.227
0.636 0.136 0.773
0.864 0.636 0.500
```



Entry 3:
Entry from Alexandria via LeMat-Bulk: a geometry-optimized KCaHOs2 structure (GGA-PBE).

Calculated values
Crystal system: tetragonal

```
KCaHOs2
1.0
3.963 0.000 0.000
0.000 3.963 0.000
0.000 0.000 5.116
K Ca H Os
1 1 1 2
Direct
0.000 0.000 0.000
0.500 0.500 0.000
0.000 0.000 0.500
0.000 0.500 0.500
0.500 0.000 0.500
```



Entry 4:
Entry from Alexandria via LeMat-Bulk: a geometry-optimized Sc2TcGeC structure (GGA-PBE).

Calculated values
Polymorph energy (0 for the lowest one) (meV/atom): 1646.6
Crystal system: tetragonal
Energy relative to the elements (eV/atom): 1.15

```
Sc2TcGeC
1.0
5.117 0.000 0.000
0.000 5.117 0.000
0.000 0.000 3.682
Sc Tc Ge C
2 1 1 1
Direct
0.000 0.500 0.000
0.500 0.000 0.000
0.000 0.000 0.500
0.500 0.500 0.000
0.500 0.500 0.500
```



Entry 5:
Entry from Alexandria via LeMat-Bulk: a geometry-optimized TaCuIr structure (GGA-PBE).

Calculated values
Polymorph energy (0 for the lowest one) (meV/atom): 412.7
Crystal system: cubic
Energy relative to the elements (eV/atom): 0.06

```
TaCuIr
1.0
0.000 2.995 2.995
2.995 0.000 2.995
2.995 2.995 0.000
Ta Cu Ir
1 1 1
Direct
0.000 0.000 0.000
0.500 0.500 0.500
0.750 0.750 0.750
```



Entry 6:
Entry from Alexandria via LeMat-Bulk: a geometry-optimized Y2Cd2Hg structure (GGA-PBE).

Calculated values
Polymorph energy (0 for the lowest one) (meV/atom): 477.1
Crystal system: tetragonal
Energy relative to the elements (eV/atom): 0.16

```
Y2Cd2Hg
1.0
-2.426 2.426 6.400
2.426 -2.426 6.400
2.426 2.426 -6.400
Y Cd Hg
2 2 1
Direct
0.250 0.750 0.500
0.750 0.250 0.500
0.103 0.103 0.000
0.897 0.897 0.000
0.500 0.500 0.000
```



Entry 7:
Entry from Alexandria via LeMat-Bulk: a geometry-optimized AsRhSe2Cl structure (GGA-PBE).

Calculated values
Polymorph energy (0 for the lowest one) (meV/atom): 0.0
Formation energy from raw total energies (eV/atom): 0.4302
Crystal system: tetragonal

```
AsRhSe2Cl
1.0
4.900 0.000 0.000
0.000 4.900 0.000
0.000 0.000 4.875
As Rh Se Cl
1 1 2 1
Direct
0.000 0.000 0.000
0.000 0.000 0.500
0.000 0.500 0.500
0.500 0.000 0.500
0.500 0.500 0.000
```



Entry 8:
Entry from Alexandria via LeMat-Bulk: a geometry-optimized PmTh3Hg4 structure (GGA-PBE).

Calculated values
Crystal system: tetragonal
Energy relative to the elements (eV/atom): -0.26

```
PmTh3Hg4
1.0
3.807 0.000 0.000
0.000 3.807 0.000
0.000 0.000 15.410
Pm Th Hg
1 3 4
Direct
0.000 0.000 0.000
0.000 0.000 0.249
0.000 0.000 0.500
0.000 0.000 0.751
0.500 0.500 0.120
0.500 0.500 0.374
0.500 0.500 0.626
0.500 0.500 0.880
```



Entry 9:
Entry from Alexandria via LeMat-Bulk: a geometry-optimized Pr3HgPd8 structure (GGA-PBE).

Calculated values
Crystal system: trigonal
Energy relative to the elements (eV/atom): -0.70

```
Pr3HgPd8
1.0
2.750 1.588 9.024
-2.750 1.588 9.024
0.000 -3.176 9.024
Pr Hg Pd
3 1 8
Direct
0.000 0.000 0.000
0.129 0.129 0.129
0.517 0.517 0.517
0.638 0.638 0.638
0.071 0.071 0.565
0.071 0.565 0.071
0.072 0.570 0.570
0.320 0.320 0.320
0.565 0.071 0.071
0.570 0.072 0.570
0.570 0.570 0.072
0.820 0.820 0.820
```



Entry 10:
Entry from Alexandria via LeMat-Bulk: a geometry-optimized YEr3Pd2 structure (GGA-PBE).

Calculated values
Polymorph energy (0 for the lowest one) (meV/atom): 0.0
Crystal system: orthorhombic
Energy relative to the elements (eV/atom): -0.62

```
YEr3Pd2
1.0
3.756 0.000 0.000
0.000 9.627 0.000
0.000 0.000 8.498
Y Er Pd
2 6 4
Direct
0.000 0.069 0.000
0.000 0.931 0.500
0.000 0.287 0.658
0.000 0.713 0.158
0.500 0.215 0.320
0.500 0.434 0.978
0.500 0.566 0.478
0.500 0.785 0.820
0.000 0.425 0.251
0.000 0.575 0.751
0.500 0.077 0.725
0.500 0.923 0.225
```



Entry 11:
Entry from Alexandria via LeMat-Bulk: a geometry-optimized Pr6Ho3Er2Mg structure (GGA-PBE).

Calculated values
Crystal system: monoclinic
Energy relative to the elements (eV/atom): 0.02

```
Pr6Ho3Er2Mg
1.0
3.129 -5.423 0.000
3.129 5.423 0.000
-2.094 0.000 11.602
Pr Ho Er Mg
6 3 2 1
Direct
0.085 0.418 0.752
0.249 0.249 0.249
0.418 0.085 0.752
0.582 0.915 0.248
0.751 0.751 0.751
0.915 0.582 0.248
0.000 0.000 0.500
0.333 0.667 0.500
0.667 0.333 0.500
0.167 0.833 0.000
0.833 0.167 0.000
0.500 0.500 0.000
```



Entry 12:
Entry from Alexandria via LeMat-Bulk: a geometry-optimized LaDy6Sc structure (GGA-PBE).

Calculated values
Polymorph energy (0 for the lowest one) (meV/atom): 0.0
Crystal system: tetragonal
Energy relative to the elements (eV/atom): 0.04

```
LaDy6Sc
1.0
5.014 0.000 0.000
0.000 5.014 0.000
0.000 0.000 9.963
La Dy Sc
1 6 1
Direct
0.000 0.000 0.000
0.000 0.500 0.260
0.000 0.500 0.740
0.500 0.000 0.260
0.500 0.000 0.740
0.500 0.500 0.000
0.500 0.500 0.500
0.000 0.000 0.500
```



We obtain electronic total energy values of -5.41, -5.36, -4.92, -6.23, -8.21, -2.85, -3.73, -3.79, -5.38, -5.71, -4.40, -4.81 eV/atom for the records listed above, in that order.
We obtain calculated density values of 11.4, 9.5, 9.5, 4.7, 13.5, 6.6, 5.3, 12.2, 10.4, 8.7, 7.2, 7.7 Mg/m³ for the records listed above, in that order.